# K2TaVO6 GGA+U optimized geometry
# - E: -7.392 eV per atom
data_K2TaVO6
_chemical_formula_sum 'K2 Ta1 V1 O6'
_symmetry_space_group_name_H-M 'P 4 m m'
_symmetry_Int_Tables_number 99
_cell_length_a 5.365
_cell_length_b 5.365
_cell_length_c 4.953
_cell_angle_alpha 90.00
_cell_angle_beta 90.00
_cell_angle_gamma 90.00
loop_
_symmetry_equiv_pos_as_xyz
'x,y,z'
'-y,x,z'
'-x,-y,z'
'y,-x,z'
'-x,y,z'
'y,x,z'
'x,-y,z'
'-y,-x,z'
loop_
_atom_site_label
_atom_site_type_symbol
_atom_site_fract_x
_atom_site_fract_y
_atom_site_fract_z
_atom_site_occupancy
K1 K 0.000 0.500 0.000 1
Ta1 Ta 0.000 0.000 0.501 1
V1 V 0.500 0.500 0.499 1
O1 O 0.000 0.000 0.135 1
O2 O 0.257 0.257 0.584 1
O3 O 0.500 0.500 0.162 1